HfCdGe2Se, optimized geometry, DFT PBE; ΔE_f (raw) = 83 kJ/mol of formula units; VASP energy = -4.55 eV/atom; size of the total moment = 0.0000 μB/atom
1.0
-3.189 3.408 -2.505
-2.950 0.258 4.107
2.892 4.047 1.823
Se Hf Ge Cd
1 1 2 1
Cartesian
-1.475 0.129 2.053
0.000 0.000 0.000
1.446 2.023 0.912
-1.595 1.704 -1.253
-1.624 3.856 1.712